Record 1
Material: Rb2Ga2F7
Method: DFT, PBE
State: optimized geometry

Values from the calculation:
* E_form (uncorrected): -2500 meV/atom
* magnetization: 0.998 μB per formula unit
* DOS at the Fermi energy: 3.44 states/eV per cell
* uncorrected energy: -0.3247 Ry per atom

CIF file:
```
data_Rb2Ga2F7
_space_group_name_H-M_alt 'C 1 2/m 1'
_space_group_IT_number 12
_cell_length_a 7.128
_cell_length_b 9.180
_cell_length_c 6.170
_cell_angle_alpha 90.00
_cell_angle_beta 91.54
_cell_angle_gamma 90.00
loop_
_space_group_symop_operation_xyz
'x,y,z'
'-x,-y,-z'
'-x,y,-z'
'x,-y,z'
'x+1/2,y+1/2,z'
'-x+1/2,-y+1/2,-z'
'-x+1/2,y+1/2,-z'
'x+1/2,-y+1/2,z'
loop_
_atom_site_label
_atom_site_type_symbol
_atom_site_fract_x
_atom_site_fract_y
_atom_site_fract_z
Rb1 Rb 0.000 0.229 0.000
Ga1 Ga 0.220 0.500 0.506
F1 F 0.000 0.000 0.500
F2 F 0.216 0.500 0.204
F3 F 0.223 0.341 0.688
```

***

Record 2
Material: RbGa2F8
Method: DFT, PBE
State: optimized geometry

Values from the calculation:
* E_form (uncorrected): -2169 meV/atom
* magnetization: 0.651 μB per formula unit
* DOS at the Fermi energy: 5.71 states/eV per cell
* uncorrected energy: -0.3064 Ry per atom

CIF file:
```
data_RbGa2F8
_space_group_name_H-M_alt 'P 4/m m m'
_space_group_IT_number 123
_space_group_name_Hall '-P 4 2'
_cell_length_a 4.854
_cell_length_b 4.854
_cell_length_c 6.928
_cell_angle_alpha 90.00
_cell_angle_beta 90.00
_cell_angle_gamma 90.00
loop_
_atom_site_label
_atom_site_type_symbol
_atom_site_fract_x
_atom_site_fract_y
_atom_site_fract_z
Rb1 Rb 0.000 0.000 0.000
Ga1 Ga 0.000 0.500 0.500
F1 F 0.250 0.250 0.331
```

***

| no. | volume (Å³/cell) |
| --- | --- |
| 1 | 403.6 |
| 2 | 163.2 |